Crystalline ZrAlCoAu at its relaxed geometry. Source: Alexandria, functional GGA-PBE.

Output
Formation energy (eV/atom): -0.388

Geometry as POSCAR:
```
ZrAlCoAu
1.0
0.0000 3.2072 3.2072
3.2072 0.0000 3.2072
3.2072 3.2072 0.0000
Zr Al Co Au
1 1 1 1
Direct
0.0000 0.0000 0.0000 Zr
0.5000 0.5000 0.5000 Al
0.2500 0.2500 0.2500 Co
0.7500 0.7500 0.7500 Au
```